A plane-wave DFT calculation with PBEsol was carried out for crystalline Cs2NaPrF6 at its relaxed geometry.

Its spin magnetization is 0.01 μB/atom. Its space-group type is Fm-3m (225). As for the calculated density: 4.69 Mg/m³. The volume is 19.27 Å³ per atom. The formation energy (no corrections) is -3270 meV/atom.

Geometry as CIF:
```
data_Cs2NaPrF6
_cell_length_a 6.483
_cell_length_b 6.483
_cell_length_c 6.483
_cell_angle_alpha 60.00
_cell_angle_beta 60.00
_cell_angle_gamma 60.00
_space_group_name_H-M_alt 'P 1'
_space_group_IT_number 1
loop_
_space_group_symop_operation_xyz
'x,y,z'
loop_
_atom_site_label
_atom_site_type_symbol
_atom_site_fract_x
_atom_site_fract_y
_atom_site_fract_z
Cs1 Cs 0.250 0.250 0.250
Cs2 Cs 0.750 0.750 0.750
Na1 Na 0.000 0.000 0.000
Pr1 Pr 0.500 0.500 0.500
F1 F 0.251 0.251 0.749
F2 F 0.251 0.749 0.251
F3 F 0.251 0.749 0.749
F4 F 0.749 0.251 0.251
F5 F 0.749 0.251 0.749
F6 F 0.749 0.749 0.251
```

=====

A plane-wave DFT calculation with PBEsol was carried out for crystalline Tl3In at its relaxed geometry.

Its spin magnetization is 0.00 μB/atom. Its space-group type is I4/mmm (139). As for the formation energy from the elements: 21.3 meV/atom. As for the calculated density: 11.04 Mg/m³. The volume is 27.38 Å³ per atom.

Geometry as CIF:
```
data_Tl3In
_cell_length_a 5.848
_cell_length_b 5.848
_cell_length_c 5.848
_cell_angle_alpha 131.60
_cell_angle_beta 131.60
_cell_angle_gamma 70.86
_space_group_name_H-M_alt 'P 1'
_space_group_IT_number 1
loop_
_space_group_symop_operation_xyz
'x,y,z'
loop_
_atom_site_label
_atom_site_type_symbol
_atom_site_fract_x
_atom_site_fract_y
_atom_site_fract_z
Tl1 Tl 0.000 0.000 0.000
Tl2 Tl 0.250 0.750 0.500
Tl3 Tl 0.750 0.250 0.500
In1 In 0.500 0.500 0.000
```

=====

Number 1: total DFT energy (no corrections) -5.273 eV/atom. Number 2: total DFT energy (no corrections) -2.697 eV/atom.